Density functional theory data (PBE) for TiPO4 after structural relaxation.

Computed properties:
Total DFT energy (no corrections) in eV/atom: -8.010
DOS(E_F) in states/eV per atom: 0.59
Formation energy from raw total energies in eV per formula unit: -14.92
SG: R-3c

a b c (Å): 8.515 8.515 8.515
angles (deg): 61.65 61.65 61.65
Fractional positions:
Ti 0.000 0.000 0.000
Ti 0.142 0.142 0.142
Ti 0.358 0.358 0.358
Ti 0.500 0.500 0.500
Ti 0.642 0.642 0.642
Ti 0.858 0.858 0.858
P 0.042 0.750 0.458
P 0.250 0.542 0.958
P 0.458 0.042 0.750
P 0.542 0.958 0.250
P 0.750 0.458 0.042
P 0.958 0.250 0.542
O 0.000 0.179 0.387
O 0.000 0.821 0.613
O 0.057 0.906 0.259
O 0.094 0.741 0.943
O 0.113 0.321 0.500
O 0.179 0.387 0.000
O 0.241 0.594 0.443
O 0.259 0.057 0.906
O 0.321 0.500 0.113
O 0.387 0.000 0.179
O 0.406 0.557 0.759
O 0.443 0.241 0.594
O 0.500 0.113 0.321
O 0.500 0.887 0.679
O 0.557 0.759 0.406
O 0.594 0.443 0.241
O 0.613 0.000 0.821
O 0.679 0.500 0.887
O 0.741 0.943 0.094
O 0.759 0.406 0.557
O 0.821 0.613 0.000
O 0.887 0.679 0.500
O 0.906 0.259 0.057
O 0.943 0.094 0.741

Density functional theory data (PBE) for Na2LiZnSb2 after structural relaxation.

Computed properties:
Total DFT energy (no corrections) in eV/atom: -2.729
DOS(E_F) in states/eV per atom: 0.41
Formation energy from raw total energies in eV per formula unit: -2.31
SG: Ibam

a b c (Å): 8.850 8.850 8.850
angles (deg): 139.07 59.70 138.50
Fractional positions:
Na 0.176 0.247 0.423
Na 0.324 0.747 0.071
Na 0.676 0.253 0.929
Na 0.824 0.753 0.577
Li 0.250 0.250 0.000
Li 0.750 0.750 0.000
Zn 0.250 0.750 0.500
Zn 0.750 0.250 0.500
Sb 0.112 0.743 0.855
Sb 0.388 0.243 0.631
Sb 0.612 0.757 0.369
Sb 0.888 0.257 0.145

Density functional theory data (PBE) for ZnInHg2I after structural relaxation.

Computed properties:
Total DFT energy (no corrections) in eV/atom: -1.235
DOS(E_F) in states/eV per atom: 0.45
Formation energy from raw total energies in eV per formula unit: -0.01
Energy above the most stable polymorph in this dataset in kJ per mole of atoms: 7.0
SG: P4/mmm

a b c (Å): 5.209 5.209 6.304
angles (deg): 90.00 90.00 90.00
Fractional positions:
Zn 0.000 0.000 0.000
In 0.500 0.500 0.500
Hg 0.000 0.500 0.000
Hg 0.500 0.000 0.000
I 0.000 0.000 0.500

Density functional theory data (PBE) for OsSeN2F after structural relaxation.

Computed properties:
Total DFT energy (no corrections) in eV/atom: -5.933
DOS(E_F) in states/eV per atom: 0.85
Formation energy from raw total energies in eV per formula unit: 3.57
Energy above the most stable polymorph in this dataset in kJ per mole of atoms: 23.2
SG: P4/mmm

a b c (Å): 3.906 3.906 4.130
angles (deg): 90.00 90.00 90.00
Fractional positions:
Os 0.000 0.000 0.000
Se 0.500 0.500 0.500
N 0.000 0.500 0.000
N 0.500 0.000 0.000
F 0.000 0.000 0.500

Density functional theory data (PBE) for VInSn3 after structural relaxation.

Computed properties:
Energy of formation from the pure elements in eV per formula unit: 0.881
Total DFT energy (no corrections) in eV/atom: -4.597
DOS(E_F) in states/eV per atom: 0.56
Energy above the most stable polymorph in this dataset in kJ per mole of atoms: 0.0
SG: Pm-3m

a b c (Å): 5.195 5.195 5.195
angles (deg): 90.00 90.00 90.00
Fractional positions:
V 0.000 0.000 0.000
In 0.500 0.500 0.500
Sn 0.000 0.000 0.500
Sn 0.000 0.500 0.000
Sn 0.500 0.000 0.000

Density functional theory data (PBE) for MgMnCo after structural relaxation.

Computed properties:
Energy of formation from the pure elements in eV per formula unit: 0.882
Total DFT energy (no corrections) in eV/atom: -5.663
DOS(E_F) in states/eV per atom: 0.91
Energy above the most stable polymorph in this dataset in kJ per mole of atoms: 21.9
SG: Pm

a b c (Å): 4.940 3.385 5.395
angles (deg): 90.00 103.46 90.00
Fractional positions:
Mg 0.000 0.000 0.000
Mg 0.475 0.500 0.885
Mn 0.352 0.500 0.360
Mn 0.631 0.000 0.510
Co 0.140 0.000 0.538
Co 0.844 0.500 0.343

Density functional theory data (PBE) for LiZn2Au after structural relaxation.

Computed properties:
Energy of formation from the pure elements in eV per formula unit: -0.482
Total DFT energy (no corrections) in eV/atom: -2.055
DOS(E_F) in states/eV per atom: 0.40
Energy above the most stable polymorph in this dataset in kJ per mole of atoms: 23.3
SG: R3m

a b c (Å): 9.159 9.159 9.159
angles (deg): 18.02 18.02 18.02
Fractional positions:
Li 0.000 0.000 0.000
Zn 0.251 0.251 0.251
Zn 0.499 0.499 0.499
Au 0.747 0.747 0.747

Density functional theory data (PBE) for LiPmTl after structural relaxation.

Computed properties:
Energy of formation from the pure elements in eV per formula unit: -0.858
Total DFT energy (no corrections) in eV/atom: -3.296
DOS(E_F) in states/eV per atom: 0.69
Energy above the most stable polymorph in this dataset in kJ per mole of atoms: 0.0
SG: P3m1

a b c (Å): 5.010 5.010 3.513
angles (deg): 90.00 90.00 120.00
Fractional positions:
Li 0.000 0.000 0.000
Pm 0.667 0.333 0.501
Tl 0.333 0.667 0.002